Computed, not measured: an optimized crystal structure of NaRe2NiO at the PBE+U level of DFT.

```
NaRe2NiO
1.0
-0.080 0.244 -4.405
4.895 -1.211 -0.156
-1.065 -4.277 -0.218
Na Re O Ni
1 2 1 1
direct
0.000 0.500 0.000 Na
0.500 0.000 0.000 Re
0.000 0.000 0.500 Re
0.500 0.500 0.500 O
0.000 0.000 0.000 Ni
```

DFT total energy   -4.4686 eV per atom
Spin magnetization   4.2 μB per cell
Symmetry   P4/mmm (123)